VASP calculation (PBE with a Hubbard U) on an optimized crystal structure of Pb2WO5.

Cell lengths 5.8558, 7.3260, 7.3739 Å; angles 64.14, 66.61, 66.44 degrees
With the nearest neighbours (Å) after each atom.
Element x y z (fractional)
W: 0.9414 0.8043 0.2930  5 O 1.87-1.96
O: 0.3027 0.7966 0.1905  1 W 1.93
Pb: 0.6229 0.4813 0.3050  4 O 2.38-2.62
W: 0.9613 0.3043 0.7930  5 O 1.87-1.96
Pb: 0.5909 0.9813 0.8050  4 O 2.38-2.62
O: 0.0104 0.5841 0.1812  1 W 1.95
O: 0.6002 0.7643 0.4436  1 W 1.93
O: 0.8406 0.0319 0.0661  1 W 1.87
O: 0.0614 0.5319 0.5661  1 W 1.87
Pb: 0.2740 0.0814 0.3311  4 O 2.36-2.63
O: 0.7103 0.2966 0.6905  1 W 1.93
O: 0.2243 0.0841 0.6812  1 W 1.95
O: 0.1919 0.2643 0.9436  1 W 1.93
O: 0.8931 0.9746 0.4556  1 W 1.96
O: 0.6766 0.4746 0.9556  1 W 1.96
Pb: 0.3135 0.5814 0.8311  4 O 2.36-2.63

Results
As for the crystal system: monoclinic. The calculation puts the density of states at the Fermi level at 0.00 states/eV/atom. As for the total energy: -104.8 eV per cell. Its volume is 15.70 A^3/atom.